# CdAgTe

An optimized crystal structure of CdAgTe (GGA-PBE, OQMD).

a = 8.042 Å, b = 4.122 Å, c = 8.932 Å
α = 90.00°, β = 90.00°, γ = 90.00°
Sites, in units of the cell vectors:
Ag 0.864 0.750 0.172
Ag 0.364 0.750 0.328
Ag 0.636 0.250 0.672
Ag 0.136 0.250 0.828
Cd 0.366 0.750 0.003
Cd 0.866 0.750 0.497
Cd 0.134 0.250 0.503
Cd 0.634 0.250 0.997
Te 0.132 0.250 0.163
Te 0.632 0.250 0.337
Te 0.368 0.750 0.663
Te 0.868 0.750 0.837

Electronic total energy (eV/atom): -2.299
Energy relative to the lowest polymorph listed for this composition (eV/f.u.): 0.127
SG: Pnma (62)
Calculated volume (A^3/atom): 24.672

***

# PmAsPbO

An optimized crystal structure of PmAsPbO (GGA-PBE, OQMD).

a = 4.043 Å, b = 9.070 Å, c = 6.110 Å
α = 90.00°, β = 90.00°, γ = 90.00°
Sites, in units of the cell vectors:
As 0.000 0.341 0.421
As 0.000 0.659 0.921
O 0.500 0.768 0.385
O 0.500 0.232 0.885
Pb 0.500 0.861 0.020
Pb 0.500 0.139 0.520
Pm 0.000 0.666 0.428
Pm 0.000 0.334 0.928

Electronic total energy (eV/atom): -5.905
Total magnetization (Bohr magnetons per cell): 0.0
Energy relative to the lowest polymorph listed for this composition (eV/f.u.): 0.157
SG: Pmc2_1 (26)
Calculated volume (A^3/atom): 28.008

***

# U2PdW4

An optimized crystal structure of U2PdW4 (GGA-PBE, OQMD).

a = 5.651 Å, b = 5.651 Å, c = 5.651 Å
α = 102.23°, β = 102.23°, γ = 125.20°
Sites, in units of the cell vectors:
Pd 0.000 0.000 0.000
U 0.750 0.250 0.500
U 0.250 0.750 0.500
W 0.684 0.316 0.000
W 0.316 0.684 0.000
W 0.684 0.684 0.369
W 0.316 0.316 0.631

Electronic total energy (eV/atom): -10.625
Total magnetization (Bohr magnetons per cell): 0.1
Energy of formation (kJ per mole of atoms): 72
SG: I4/mmm (139)
Calculated volume (A^3/atom): 18.707

***

# ZrSc

An optimized crystal structure of ZrSc (GGA-PBE, OQMD).

a = 5.592 Å, b = 6.549 Å, c = 5.117 Å
α = 90.00°, β = 90.00°, γ = 90.00°
Sites, in units of the cell vectors:
Sc 0.993 0.495 0.000
Sc 0.493 0.755 0.000
Sc 0.340 0.495 0.500
Sc 0.840 0.755 0.500
Zr 0.004 0.006 0.000
Zr 0.504 0.244 0.000
Zr 0.329 0.006 0.500
Zr 0.829 0.244 0.500

Electronic total energy (eV/atom): -7.459
Total magnetization (Bohr magnetons per cell): 0.0
Energy of formation (kJ per mole of atoms): -2
SG: Pbcm (57)
Calculated volume (A^3/atom): 23.425

***

# Sm3Si3Ni

An optimized crystal structure of Sm3Si3Ni (GGA-PBE, OQMD).

a = 5.717 Å, b = 5.717 Å, c = 13.835 Å
α = 109.34°, β = 109.34°, γ = 43.97°
Sites, in units of the cell vectors:
Ni 0.248 0.248 0.403
Ni 0.752 0.752 0.597
Si 0.110 0.110 0.076
Si 0.051 0.051 0.236
Si 0.859 0.859 0.458
Si 0.141 0.141 0.542
Si 0.949 0.949 0.764
Si 0.890 0.890 0.924
Sm 0.398 0.398 0.078
Sm 0.749 0.749 0.229
Sm 0.531 0.531 0.381
Sm 0.469 0.469 0.619
Sm 0.251 0.251 0.771
Sm 0.602 0.602 0.922

Electronic total energy (eV/atom): -5.903
Total magnetization (Bohr magnetons per cell): 0.7
SG: C2/m (12)
Calculated volume (A^3/atom): 20.950

***

# CsTaBeNi

An optimized crystal structure of CsTaBeNi (GGA-PBE, OQMD).

a = 4.637 Å, b = 4.637 Å, c = 4.637 Å
α = 60.00°, β = 60.00°, γ = 60.00°
Sites, in units of the cell vectors:
Be 0.750 0.750 0.750
Cs 0.250 0.250 0.250
Ni 0.500 0.500 0.500
Ta 0.000 0.000 0.000

Electronic total energy (eV/atom): -3.792
Total magnetization (Bohr magnetons per cell): 0.0
Energy relative to the lowest polymorph listed for this composition (eV/f.u.): 0.319
SG: F-43m (216)
Calculated volume (A^3/atom): 17.629

***

# NaTl3In3Au4

An optimized crystal structure of NaTl3In3Au4 (GGA-PBE, OQMD).

a = 8.459 Å, b = 8.459 Å, c = 4.490 Å
α = 90.00°, β = 90.00°, γ = 120.00°
Sites, in units of the cell vectors:
Au 0.667 0.333 0.000
Au 0.212 0.423 0.500
Au 0.212 0.788 0.500
Au 0.577 0.788 0.500
In 0.066 0.533 0.000
In 0.467 0.533 0.000
In 0.467 0.934 0.000
Na 0.000 0.000 0.000
Tl 0.376 0.188 0.500
Tl 0.812 0.188 0.500
Tl 0.812 0.624 0.500

Electronic total energy (eV/atom): -2.862
SG: P-6m2 (187)
Calculated volume (A^3/atom): 25.296

***

# Co7As

An optimized crystal structure of Co7As (GGA-PBE, OQMD).

a = 2.558 Å, b = 2.558 Å, c = 39.768 Å
α = 90.00°, β = 90.00°, γ = 90.00°
Sites, in units of the cell vectors:
As 0.000 0.500 0.181
As 0.500 0.000 0.819
Co 0.500 0.000 0.225
Co 0.000 0.500 0.267
Co 0.500 0.000 0.309
Co 0.000 0.500 0.352
Co 0.500 0.000 0.394
Co 0.000 0.500 0.436
Co 0.500 0.000 0.479
Co 0.000 0.500 0.521
Co 0.500 0.000 0.564
Co 0.000 0.500 0.606
Co 0.500 0.000 0.648
Co 0.000 0.500 0.691
Co 0.500 0.000 0.733
Co 0.000 0.500 0.775

Electronic total energy (eV/atom): -6.718
Total magnetization (Bohr magnetons per cell): 16.6
Energy relative to the lowest polymorph listed for this composition (eV/f.u.): 0.405
SG: P4/nmm (129)
Calculated volume (A^3/atom): 16.270

***

# K2Na2HgP2

An optimized crystal structure of K2Na2HgP2 (GGA-PBE, OQMD).

a = 9.721 Å, b = 9.721 Å, c = 9.721 Å
α = 31.16°, β = 31.16°, γ = 31.16°
Sites, in units of the cell vectors:
Hg 0.000 0.000 0.000
K 0.205 0.205 0.205
K 0.795 0.795 0.795
Na 0.395 0.395 0.395
Na 0.605 0.605 0.605
P 0.087 0.087 0.087
P 0.913 0.913 0.913

Electronic total energy (eV/atom): -2.623
Energy relative to the lowest polymorph listed for this composition (eV/f.u.): 0.000
SG: R-3m (166)
Calculated volume (A^3/atom): 31.180

***

# SrZnSb

An optimized crystal structure of SrZnSb (GGA-PBE, OQMD).

a = 5.244 Å, b = 5.244 Å, c = 5.244 Å
α = 60.00°, β = 60.00°, γ = 60.00°
Sites, in units of the cell vectors:
Sb 0.250 0.250 0.250
Sr 0.000 0.000 0.000
Zn 0.750 0.750 0.750

Electronic total energy (eV/atom): -2.499
Energy relative to the lowest polymorph listed for this composition (eV/f.u.): 0.511
SG: F-43m (216)
Calculated volume (A^3/atom): 33.991

***

# Zn2As3PW2

An optimized crystal structure of Zn2As3PW2 (GGA-PBE, OQMD).

a = 6.390 Å, b = 6.390 Å, c = 5.519 Å
α = 108.13°, β = 108.13°, γ = 55.66°
Sites, in units of the cell vectors:
As 0.643 0.891 0.229
As 0.400 0.600 0.500
As 0.109 0.357 0.771
P 0.919 0.081 0.000
W 0.502 0.303 0.090
W 0.697 0.498 0.910
Zn 0.250 0.021 0.377
Zn 0.979 0.750 0.623

Electronic total energy (eV/atom): -5.710
Total magnetization (Bohr magnetons per cell): 0.0
SG: C2 (5)
Calculated volume (A^3/atom): 21.771

***

# NiMoPt

An optimized crystal structure of NiMoPt (GGA-PBE, OQMD).

a = 4.143 Å, b = 4.143 Å, c = 4.143 Å
α = 60.00°, β = 60.00°, γ = 60.00°
Sites, in units of the cell vectors:
Mo 0.000 0.000 0.000
Ni 0.250 0.250 0.250
Pt 0.750 0.750 0.750

Electronic total energy (eV/atom): -7.086
Total magnetization (Bohr magnetons per cell): 0.0
Energy of formation (kJ per mole of atoms): 39
Energy relative to the lowest polymorph listed for this composition (eV/f.u.): 0.321
SG: F-43m (216)
Calculated volume (A^3/atom): 16.765